Record 1
12
Lattice="4.102 0.000 0.000 0.000 9.185 -0.088 -2.051 -3.086 9.453" Properties=species:S:1:pos:R:3 comment="Pm6HgRh2Br3 (PBE-GGA, optimized geometry)" density_g_cm3=7.09 sg=C2/m e_tot_ev_per_atom=-5.007 pbc="T T T"
Br 2.051 4.592 -0.044
Pm 0.000 2.233 0.437
Pm 2.051 0.161 3.045
Rh 0.000 2.099 3.169
Pm 2.051 3.867 8.927
Pm 2.051 4.060 3.418
Br 2.051 -0.597 6.300
Br 0.000 6.697 3.065
Rh 2.051 4.000 6.195
Hg 2.051 0.000 0.000
Pm 0.000 2.039 5.946
Pm 0.000 5.938 6.320

Record 2
9
Lattice="3.879 0.000 0.954 1.712 6.540 1.402 -0.150 0.622 8.971" Properties=species:S:1:pos:R:3 comment="Sm2Ho3P4 (PBE-GGA, optimized geometry)" density_g_cm3=6.75 sg=C2/m e_tot_ev_per_atom=-6.397 e_form_ev_per_atom=-1.418 pbc="T T T"
P 1.928 2.533 8.884
P 3.232 0.867 3.586
Ho 0.000 0.000 0.000
P 2.209 6.294 7.742
Ho 1.452 2.741 2.461
P 3.513 4.628 2.443
Sm 2.572 1.641 6.267
Ho 3.989 4.420 8.867
Sm 2.869 5.520 5.061

Record 3
6
Lattice="-0.439 1.080 4.259 1.089 -4.169 1.170 6.284 1.113 -1.886" Properties=species:S:1:pos:R:3 comment="LiGaSn (PBE-GGA, optimized geometry)" density_g_cm3=5.23 sg=P2/m e_tot_ev_per_atom=-3.148 e_form_ev_per_atom=-0.167 pbc="T T T"
Ga 4.398 -1.035 0.737
Li 2.037 0.555 0.081
Sn -0.220 0.540 2.130
Li 3.807 1.638 2.293
Ga 2.536 -0.941 2.806
Sn 0.545 -2.085 0.585

Record 4
4
Lattice="6.937 0.002 0.001 4.940 4.870 -0.001 -5.905 -2.517 2.629" Properties=species:S:1:pos:R:3 comment="YMnSe2 (PBE-GGA, optimized geometry)" density_g_cm3=5.64 sg=Imm2 e_tot_ev_per_atom=-6.660 pbc="T T T"
Mn 2.142 2.253 1.314
Y 5.329 2.186 0.000
Se 3.868 0.118 1.315
Se 0.571 0.234 0.000

Record 5
6
Lattice="0.000 4.391 4.391 4.391 0.000 4.391 4.391 4.391 0.000" Properties=species:S:1:pos:R:3 comment="KZrSc4 (PBE-GGA, optimized geometry)" density_g_cm3=3.04 sg=F-43m e_tot_ev_per_atom=-5.204 e_form_ev_per_atom=0.625 pbc="T T T"
Zr 6.587 6.587 6.587
Sc 5.443 5.443 3.340
K 0.000 0.000 0.000
Sc 5.443 3.340 5.443
Sc 3.340 3.340 3.340
Sc 3.340 5.443 5.443

Record 6
4
Lattice="0.000 3.373 3.373 3.373 0.000 3.373 3.373 3.373 0.000" Properties=species:S:1:pos:R:3 comment="LaNb2Re (PBE-GGA, optimized geometry)" density_g_cm3=11.05 sg=Fm-3m polymorph_energy_kj_per_mol_atoms=0.0 e_tot_ev_per_atom=-9.076 e_form_ev_per_atom=0.303 pbc="T T T"
Nb 1.687 1.687 1.687
Nb 5.060 5.060 5.060
Re 3.373 3.373 3.373
La 0.000 0.000 0.000

Which formula does entry 6 have? LaNb2Re

Copy entry 4 word for word.
4
Lattice="6.937 0.002 0.001 4.940 4.870 -0.001 -5.905 -2.517 2.629" Properties=species:S:1:pos:R:3 comment="YMnSe2 (PBE-GGA, optimized geometry)" density_g_cm3=5.64 sg=Imm2 e_tot_ev_per_atom=-6.660 pbc="T T T"
Mn 2.142 2.253 1.314
Y 5.329 2.186 0.000
Se 3.868 0.118 1.315
Se 0.571 0.234 0.000